# KNa6Sn2 (PBE, relaxed)
# Fermi-level density of states = 4.96 states/eV/cell
# Space group = C2/m
# Formation energy from the elements = -0.134 eV/atom
data_KNa6Sn2
_cell_length_a 5.543
_cell_length_b 5.543
_cell_length_c 10.208
_cell_angle_alpha 90.91
_cell_angle_beta 90.91
_cell_angle_gamma 59.48
_symmetry_space_group_name_H-M 'P 1'
_symmetry_Int_Tables_number 1
loop_
_symmetry_equiv_pos_as_xyz
'x,y,z'
loop_
_atom_site_label
_atom_site_fract_x
_atom_site_fract_y
_atom_site_fract_z
K1 0.000 0.000 0.000
Na1 0.001 0.001 0.326
Na2 0.332 0.332 0.435
Na3 0.334 0.334 0.121
Na4 0.666 0.666 0.879
Na5 0.668 0.668 0.565
Na6 0.999 0.999 0.674
Sn1 0.332 0.332 0.759
Sn2 0.668 0.668 0.241



# NdDyTl2 (PBE, relaxed)
# Fermi-level density of states = 12.32 states/eV/cell
# Space group = Fm-3m
# Formation energy from the elements = -0.363 eV/atom
data_NdDyTl2
_cell_length_a 7.706
_cell_length_b 7.706
_cell_length_c 7.706
_cell_angle_alpha 90.00
_cell_angle_beta 90.00
_cell_angle_gamma 90.00
_symmetry_space_group_name_H-M 'P 1'
_symmetry_Int_Tables_number 1
loop_
_symmetry_equiv_pos_as_xyz
'x,y,z'
loop_
_atom_site_label
_atom_site_fract_x
_atom_site_fract_y
_atom_site_fract_z
Nd1 0.000 0.000 0.000
Nd2 0.000 0.500 0.500
Nd3 0.500 0.000 0.500
Nd4 0.500 0.500 0.000
Dy1 0.000 0.000 0.500
Dy2 0.000 0.500 0.000
Dy3 0.500 0.000 0.000
Dy4 0.500 0.500 0.500
Tl1 0.250 0.250 0.250
Tl2 0.250 0.250 0.750
Tl3 0.250 0.750 0.250
Tl4 0.250 0.750 0.750
Tl5 0.750 0.250 0.250
Tl6 0.750 0.250 0.750
Tl7 0.750 0.750 0.250
Tl8 0.750 0.750 0.750



# BeTcS3 (PBE, relaxed)
# Fermi-level density of states = 5.22 states/eV/cell
# Space group = Pm-3m
# Raw formation energy = 0.694 eV/atom
data_BeTcS3
_cell_length_a 4.623
_cell_length_b 4.623
_cell_length_c 4.623
_cell_angle_alpha 90.00
_cell_angle_beta 90.00
_cell_angle_gamma 90.00
_symmetry_space_group_name_H-M 'P 1'
_symmetry_Int_Tables_number 1
loop_
_symmetry_equiv_pos_as_xyz
'x,y,z'
loop_
_atom_site_label
_atom_site_fract_x
_atom_site_fract_y
_atom_site_fract_z
Be1 0.000 0.000 0.000
Tc1 0.500 0.500 0.500
S1 0.000 0.500 0.500
S2 0.500 0.000 0.500
S3 0.500 0.500 0.000



# HgAsPb2 (PBE, relaxed)
# Fermi-level density of states = 2.30 states/eV/cell
# Space group = C2/m
# Formation energy from the elements = -0.003 eV/atom
data_HgAsPb2
_cell_length_a 7.180
_cell_length_b 4.163
_cell_length_c 8.323
_cell_angle_alpha 90.00
_cell_angle_beta 106.69
_cell_angle_gamma 90.00
_symmetry_space_group_name_H-M 'P 1'
_symmetry_Int_Tables_number 1
loop_
_symmetry_equiv_pos_as_xyz
'x,y,z'
loop_
_atom_site_label
_atom_site_fract_x
_atom_site_fract_y
_atom_site_fract_z
Hg1 0.000 0.000 0.000
Hg2 0.500 0.500 0.000
As1 0.000 0.500 0.500
As2 0.500 0.000 0.500
Pb1 0.238 0.000 0.718
Pb2 0.262 0.500 0.282
Pb3 0.738 0.500 0.718
Pb4 0.762 0.000 0.282



# BaSrP (PBE, relaxed)
# Fermi-level density of states = 1.49 states/eV/cell
# Space group = P3m1
# Formation energy from the elements = -0.833 eV/atom
data_BaSrP
_cell_length_a 4.554
_cell_length_b 4.554
_cell_length_c 7.795
_cell_angle_alpha 90.00
_cell_angle_beta 90.00
_cell_angle_gamma 120.00
_symmetry_space_group_name_H-M 'P 1'
_symmetry_Int_Tables_number 1
loop_
_symmetry_equiv_pos_as_xyz
'x,y,z'
loop_
_atom_site_label
_atom_site_fract_x
_atom_site_fract_y
_atom_site_fract_z
Ba1 0.000 0.000 0.000
Sr1 0.333 0.667 0.422
P1 0.667 0.333 0.225



# RbMnNi (PBE, relaxed)
# Fermi-level density of states = 3.04 states/eV/cell
# Space group = P6_3/mmc
# Formation energy from the elements = 0.785 eV/atom
data_RbMnNi
_cell_length_a 4.108
_cell_length_b 4.108
_cell_length_c 11.407
_cell_angle_alpha 90.00
_cell_angle_beta 90.00
_cell_angle_gamma 120.00
_symmetry_space_group_name_H-M 'P 1'
_symmetry_Int_Tables_number 1
loop_
_symmetry_equiv_pos_as_xyz
'x,y,z'
loop_
_atom_site_label
_atom_site_fract_x
_atom_site_fract_y
_atom_site_fract_z
Rb1 0.000 0.000 0.000
Rb2 0.000 0.000 0.500
Mn1 0.333 0.667 0.250
Mn2 0.667 0.333 0.750
Ni1 0.333 0.667 0.750
Ni2 0.667 0.333 0.250



# ZrIrRu2Rh (PBE, relaxed)
# Fermi-level density of states = 7.86 states/eV/cell
# Space group = P4/mmm
# Formation energy from the elements = 1.407 eV/atom
data_ZrIrRu2Rh
_cell_length_a 4.568
_cell_length_b 4.568
_cell_length_c 4.857
_cell_angle_alpha 90.00
_cell_angle_beta 90.00
_cell_angle_gamma 90.00
_symmetry_space_group_name_H-M 'P 1'
_symmetry_Int_Tables_number 1
loop_
_symmetry_equiv_pos_as_xyz
'x,y,z'
loop_
_atom_site_label
_atom_site_fract_x
_atom_site_fract_y
_atom_site_fract_z
Zr1 0.000 0.000 0.000
Ir1 0.500 0.500 0.000
Ru1 0.000 0.500 0.500
Ru2 0.500 0.000 0.500
Rh1 0.000 0.000 0.500



# ZrCdIn (PBE, relaxed)
# Fermi-level density of states = 3.92 states/eV/cell
# Space group = I4mm
# Formation energy from the elements = -0.114 eV/atom
data_ZrCdIn
_cell_length_a 3.187
_cell_length_b 3.187
_cell_length_c 13.181
_cell_angle_alpha 90.00
_cell_angle_beta 90.00
_cell_angle_gamma 90.00
_symmetry_space_group_name_H-M 'P 1'
_symmetry_Int_Tables_number 1
loop_
_symmetry_equiv_pos_as_xyz
'x,y,z'
loop_
_atom_site_label
_atom_site_fract_x
_atom_site_fract_y
_atom_site_fract_z
Zr1 0.000 0.000 0.000
Zr2 0.500 0.500 0.500
Cd1 0.000 0.000 0.666
Cd2 0.500 0.500 0.166
In1 0.000 0.000 0.336
In2 0.500 0.500 0.836



# NaCdIn3 (PBE, relaxed)
# Fermi-level density of states = 3.29 states/eV/cell
# Space group = Pm-3m
# Formation energy from the elements = 0.240 eV/atom
data_NaCdIn3
_cell_length_a 5.600
_cell_length_b 5.600
_cell_length_c 5.600
_cell_angle_alpha 90.00
_cell_angle_beta 90.00
_cell_angle_gamma 90.00
_symmetry_space_group_name_H-M 'P 1'
_symmetry_Int_Tables_number 1
loop_
_symmetry_equiv_pos_as_xyz
'x,y,z'
loop_
_atom_site_label
_atom_site_fract_x
_atom_site_fract_y
_atom_site_fract_z
Na1 0.000 0.000 0.000
Cd1 0.500 0.500 0.500
In1 0.000 0.500 0.500
In2 0.500 0.000 0.500
In3 0.500 0.500 0.000



# CrFeP2H (PBE, relaxed)
# Fermi-level density of states = 2.64 states/eV/cell
# Space group = P4/mmm
# E_tot = -6.3381 eV/atom
data_CrFeP2H
_cell_length_a 3.971
_cell_length_b 3.971
_cell_length_c 3.033
_cell_angle_alpha 90.00
_cell_angle_beta 90.00
_cell_angle_gamma 90.00
_symmetry_space_group_name_H-M 'P 1'
_symmetry_Int_Tables_number 1
loop_
_symmetry_equiv_pos_as_xyz
'x,y,z'
loop_
_atom_site_label
_atom_site_fract_x
_atom_site_fract_y
_atom_site_fract_z
Cr1 0.000 0.000 0.000
Fe1 0.500 0.500 0.000
P1 0.000 0.500 0.500
P2 0.500 0.000 0.500
H1 0.500 0.500 0.500



# Ba3ScTa (PBE, relaxed)
# Fermi-level density of states = 4.93 states/eV/cell
# Space group = Pm-3m
# Formation energy from the elements = 1.147 eV/atom
data_Ba3ScTa
_cell_length_a 6.167
_cell_length_b 6.167
_cell_length_c 6.167
_cell_angle_alpha 90.00
_cell_angle_beta 90.00
_cell_angle_gamma 90.00
_symmetry_space_group_name_H-M 'P 1'
_symmetry_Int_Tables_number 1
loop_
_symmetry_equiv_pos_as_xyz
'x,y,z'
loop_
_atom_site_label
_atom_site_fract_x
_atom_site_fract_y
_atom_site_fract_z
Ba1 0.000 0.000 0.500
Ba2 0.000 0.500 0.000
Ba3 0.500 0.000 0.000
Sc1 0.500 0.500 0.500
Ta1 0.000 0.000 0.000



# InGaNO2 (PBE, relaxed)
# Fermi-level density of states = 2.57 states/eV/cell
# Space group = P4/mmm
# Raw formation energy = 0.354 eV/atom
data_InGaNO2
_cell_length_a 4.271
_cell_length_b 4.271
_cell_length_c 4.259
_cell_angle_alpha 90.00
_cell_angle_beta 90.00
_cell_angle_gamma 90.00
_symmetry_space_group_name_H-M 'P 1'
_symmetry_Int_Tables_number 1
loop_
_symmetry_equiv_pos_as_xyz
'x,y,z'
loop_
_atom_site_label
_atom_site_fract_x
_atom_site_fract_y
_atom_site_fract_z
In1 0.000 0.000 0.000
Ga1 0.500 0.500 0.500
N1 0.000 0.000 0.500
O1 0.000 0.500 0.000
O2 0.500 0.000 0.000



# TbSmH2 (PBE, relaxed)
# Fermi-level density of states = 7.61 states/eV/cell
# Space group = R-3m
# E_tot = -4.3983 eV/atom
data_TbSmH2
_cell_length_a 3.537
_cell_length_b 3.537
_cell_length_c 17.271
_cell_angle_alpha 90.00
_cell_angle_beta 90.00
_cell_angle_gamma 120.00
_symmetry_space_group_name_H-M 'P 1'
_symmetry_Int_Tables_number 1
loop_
_symmetry_equiv_pos_as_xyz
'x,y,z'
loop_
_atom_site_label
_atom_site_fract_x
_atom_site_fract_y
_atom_site_fract_z
Tb1 0.000 0.000 0.000
Tb2 0.333 0.667 0.667
Tb3 0.667 0.333 0.333
Sm1 0.000 0.000 0.500
Sm2 0.333 0.667 0.167
Sm3 0.667 0.333 0.833
H1 0.000 0.000 0.253
H2 0.000 0.000 0.747
H3 0.333 0.667 0.414
H4 0.333 0.667 0.920
H5 0.667 0.333 0.080
H6 0.667 0.333 0.586



# ZnAs3O (PBE, relaxed)
# Fermi-level density of states = 3.36 states/eV/cell
# Space group = Pm-3m
# Raw formation energy = 0.341 eV/atom
data_ZnAs3O
_cell_length_a 4.417
_cell_length_b 4.417
_cell_length_c 4.417
_cell_angle_alpha 90.00
_cell_angle_beta 90.00
_cell_angle_gamma 90.00
_symmetry_space_group_name_H-M 'P 1'
_symmetry_Int_Tables_number 1
loop_
_symmetry_equiv_pos_as_xyz
'x,y,z'
loop_
_atom_site_label
_atom_site_fract_x
_atom_site_fract_y
_atom_site_fract_z
Zn1 0.000 0.000 0.000
As1 0.000 0.500 0.500
As2 0.500 0.000 0.500
As3 0.500 0.500 0.000
O1 0.500 0.500 0.500



# Sm5Te5Au (PBE, relaxed)
# Fermi-level density of states = 9.58 states/eV/cell
# Space group = C2/m
# Raw formation energy = -1.286 eV/atom
data_Sm5Te5Au
_cell_length_a 7.653
_cell_length_b 7.653
_cell_length_c 8.783
_cell_angle_alpha 106.96
_cell_angle_beta 106.96
_cell_angle_gamma 48.43
_symmetry_space_group_name_H-M 'P 1'
_symmetry_Int_Tables_number 1
loop_
_symmetry_equiv_pos_as_xyz
'x,y,z'
loop_
_atom_site_label
_atom_site_fract_x
_atom_site_fract_y
_atom_site_fract_z
Sm1 0.000 0.000 0.000
Sm2 0.339 0.339 0.163
Sm3 0.339 0.339 0.672
Sm4 0.661 0.661 0.328
Sm5 0.661 0.661 0.837
Te1 0.164 0.164 0.827
Te2 0.172 0.172 0.335
Te3 0.500 0.500 0.500
Te4 0.828 0.828 0.665
Te5 0.836 0.836 0.173
Au1 0.500 0.500 0.000



# Ti2V3W (PBE, relaxed)
# Fermi-level density of states = 16.57 states/eV/cell
# Space group = Cmcm
# Formation energy from the elements = 0.207 eV/atom
data_Ti2V3W
_cell_length_a 6.190
_cell_length_b 6.190
_cell_length_c 4.942
_cell_angle_alpha 90.00
_cell_angle_beta 90.00
_cell_angle_gamma 102.04
_symmetry_space_group_name_H-M 'P 1'
_symmetry_Int_Tables_number 1
loop_
_symmetry_equiv_pos_as_xyz
'x,y,z'
loop_
_atom_site_label
_atom_site_fract_x
_atom_site_fract_y
_atom_site_fract_z
Ti1 0.054 0.614 0.750
Ti2 0.386 0.946 0.750
Ti3 0.614 0.054 0.250
Ti4 0.946 0.386 0.250
V1 0.318 0.682 0.250
V2 0.321 0.321 0.000
V3 0.321 0.321 0.500
V4 0.679 0.679 0.000
V5 0.679 0.679 0.500
V6 0.682 0.318 0.750
W1 0.061 0.939 0.250
W2 0.939 0.061 0.750